Density functional theory data (PBE) for an optimized crystal structure of In2NiBiSb.

The structure in CIF format:
```
data_In2NiBiSb
_space_group_name_H-M_alt 'P 1'
_space_group_IT_number 1
_cell_length_a 5.873
_cell_length_b 4.779
_cell_length_c 5.873
_cell_angle_alpha 90.00
_cell_angle_beta 90.00
_cell_angle_gamma 90.00
loop_
_space_group_symop_operation_xyz
'x,y,z'
loop_
_atom_site_label
_atom_site_fract_x
_atom_site_fract_y
_atom_site_fract_z
Bi1 0.000 0.000 0.000
In1 0.500 0.000 0.000
In2 0.000 0.000 0.500
Sb1 0.500 0.500 0.500
Ni1 0.000 0.500 0.000
```

Results
DFT total energy (eV/atom): -3.1306
E_form (uncorrected) (kJ/mol of atoms): 69.6
Total magnetic moment (Bohr magnetons per cell): 0.79
Crystal system: tetragonal